[1]
Here is crystalline NaTlHg2Pb2 at its relaxed geometry from Alexandria via LeMat-Bulk. Energies are from GGA-PBE.

Cell and atoms, written as POSCAR:
```
NaTlHg2Pb2
1.0
4.850 0.000 0.000
0.000 10.152 0.000
0.000 0.000 6.931
Na Tl Hg Pb
2 2 4 4
direct
0.000 0.178 0.000
0.000 0.822 0.500
0.500 0.031 0.278
0.500 0.969 0.778
0.000 0.140 0.523
0.000 0.860 0.023
0.500 0.346 0.161
0.500 0.654 0.661
0.000 0.479 0.414
0.000 0.521 0.914
0.500 0.321 0.675
0.500 0.679 0.175
```

Values from the calculation:
Calculated volume, Å³ per cell: 341.3
Electronic total energy, eV per atom: -2.03
Total moment, μB per atom: 0.000
Fermi-level density of states, states/eV per atom: 0.39
Space-group type: No. 26
Formation enthalpy at 0 K, eV/f.u.: -0.473

[2]
Here is crystalline NaTl2HgPb2 at its relaxed geometry from Alexandria via LeMat-Bulk. Energies are from GGA-PBE.

Cell and atoms, written as POSCAR:
```
NaTl2HgPb2
1.0
4.873 0.000 0.000
0.000 10.378 0.000
0.000 0.000 6.965
Na Tl Hg Pb
2 4 2 4
direct
0.000 0.002 0.000
0.000 0.998 0.500
0.000 0.326 0.986
0.000 0.674 0.486
0.500 0.165 0.252
0.500 0.835 0.752
0.500 0.154 0.742
0.500 0.846 0.242
0.000 0.331 0.488
0.000 0.669 0.988
0.500 0.499 0.741
0.500 0.501 0.241
```

Values from the calculation:
Calculated volume, Å³ per cell: 352.2
Electronic total energy, eV per atom: -2.37
Total moment, μB per atom: 0.000
Fermi-level density of states, states/eV per atom: 0.33
Space-group type: No. 26
Formation enthalpy at 0 K, eV/f.u.: -0.454

[3]
Here is crystalline Na5TlHg2Pb at its relaxed geometry from Alexandria via LeMat-Bulk. Energies are from GGA-PBE.

Cell and atoms, written as POSCAR:
```
Na5TlHg2Pb
1.0
-4.120 4.120 7.981
4.120 -4.120 7.981
4.120 4.120 -7.981
Na Tl Hg Pb
10 2 4 2
direct
0.000 0.000 0.000
0.077 0.577 0.939
0.137 0.077 0.500
0.363 0.863 0.939
0.423 0.363 0.500
0.500 0.500 0.000
0.577 0.637 0.500
0.637 0.137 0.061
0.863 0.923 0.500
0.923 0.423 0.061
0.250 0.750 0.500
0.750 0.250 0.500
0.121 0.379 0.500
0.379 0.879 0.258
0.621 0.121 0.742
0.879 0.621 0.500
0.250 0.250 0.000
0.750 0.750 0.000
```

Values from the calculation:
Calculated volume, Å³ per cell: 541.8
Electronic total energy, eV per atom: -1.59
Total moment, μB per atom: 0.000
Fermi-level density of states, states/eV per atom: 0.49
Space-group type: No. 140
Formation enthalpy at 0 K, eV/f.u.: -1.064

[4]
Here is crystalline NaTlHg2Pb at its relaxed geometry from Alexandria via LeMat-Bulk. Energies are from GGA-PBE.

Cell and atoms, written as POSCAR:
```
NaTlHg2Pb
1.0
5.114 0.000 0.000
-2.557 4.429 0.000
0.000 0.000 6.683
Na Tl Hg Pb
1 1 2 1
direct
0.000 0.000 0.000
0.667 0.333 0.325
0.000 0.000 0.535
0.333 0.667 0.153
0.333 0.667 0.676
```

Values from the calculation:
Calculated volume, Å³ per cell: 151.4
Electronic total energy, eV per atom: -1.67
Total moment, μB per atom: 0.000
Fermi-level density of states, states/eV per atom: 0.26
Space-group type: No. 156
Formation enthalpy at 0 K, eV/f.u.: -0.356

[5]
Here is crystalline Na3Tl3HgPb2 at its relaxed geometry from Alexandria via LeMat-Bulk. Energies are from GGA-PBE.

Cell and atoms, written as POSCAR:
```
Na3Tl3HgPb2
1.0
9.298 0.000 0.000
-4.649 8.053 0.000
0.000 0.000 3.502
Na Tl Hg Pb
3 3 1 2
direct
0.000 0.708 0.000
0.292 0.292 0.000
0.708 0.000 0.000
0.000 0.360 0.500
0.360 0.000 0.500
0.640 0.640 0.500
0.000 0.000 0.500
0.333 0.667 0.000
0.667 0.333 0.000
```

Values from the calculation:
Calculated volume, Å³ per cell: 262.2
Electronic total energy, eV per atom: -2.20
Total moment, μB per atom: 0.000
Fermi-level density of states, states/eV per atom: 0.50
Space-group type: No. 189
Formation enthalpy at 0 K, eV/f.u.: -1.025

[6]
Here is crystalline NaZnHg2Pb at its relaxed geometry from Alexandria via LeMat-Bulk. Energies are from GGA-PBE.

Cell and atoms, written as POSCAR:
```
NaZnHg2Pb
1.0
5.278 0.000 0.000
0.000 5.278 0.000
0.000 0.000 5.402
Na Zn Hg Pb
1 1 2 1
direct
0.000 0.000 0.000
0.500 0.500 0.500
0.000 0.500 0.500
0.500 0.000 0.500
0.500 0.500 0.000
```

Values from the calculation:
Calculated volume, Å³ per cell: 150.5
Electronic total energy, eV per atom: -1.29
Total moment, μB per atom: 0.000
Fermi-level density of states, states/eV per atom: 0.66
Space-group type: No. 123
Formation enthalpy at 0 K, eV/f.u.: 0.459

Q: The highest formation enthalpy at 0 K belongs to which entry?
A: NaZnHg2Pb

Q: Look up the electronic total energy of the second one.
A: -2.37 eV per atom

Q: What is the total moment in the first record?
A: 0.000 μB per atom

Q: The lowest electronic total energy belongs to which entry?
A: NaTl2HgPb2